Compound: Ho2NbTe
Source: the Alexandria database
Functional: PBE
Structure: optimized geometry

As for the volume: 340.0 Å³ per cell. The total magnetization comes out at 0.002 μB per formula unit. As for the energy: -5.300 eV per atom. The uncorrected formation energy is 0.2919 eV per atom.

The space group is R-3m (No. 166, hexagonal axes) and the conventional cell measures 3.6229, 3.6229 and 29.9140 Å, with angles of 90.00, 90.00 and 120.00 degrees. The inequivalent atoms are Ho at (0.0000, 0.0000, 0.0944), Nb at (0.0000, 0.0000, 0.0000) and Te at (0.0000, 0.0000, 0.5000).